Entry from Alexandria: a relaxed ErPu2NpAs4 crystal (PBE-GGA).

Structure (POSCAR):
```
ErPu2NpAs4
1.0
4.1150 0.0000 0.0000
0.0000 7.1242 0.1257
0.0000 -2.4864 6.6719
Er Pu Np As
1 2 1 4
direct
0.5000 0.5000 0.0000
0.5000 0.0000 0.5000
0.0000 0.5000 0.5000
0.0000 0.0000 0.0000
0.5000 0.2486 0.2462
0.5000 0.7514 0.7538
0.0000 0.2486 0.7532
0.0000 0.7514 0.2468
```

Results
The formation energy comes out at -1.030 eV/atom.

=====

Entry from Alexandria: a relaxed ErPuNp2As4 crystal (PBE-GGA).

Structure (POSCAR):
```
ErPuNp2As4
1.0
-3.0312 2.5282 1.0480
-4.5952 -3.9843 -3.6794
0.3303 -2.3816 6.7010
Er Pu Np As
1 1 2 4
direct
0.5000 0.5000 0.0000
0.0000 0.0000 0.0000
0.5000 0.0000 0.5000
0.0000 0.5000 0.5000
0.5000 0.2519 0.2512
0.5000 0.7481 0.7488
0.0000 0.2519 0.7491
0.0000 0.7481 0.2509
```

Results
The formation energy comes out at -0.943 eV/atom.